# 1
Computed, not measured: a relaxed YPuCdGa crystal at the PBE level of DFT.

Values from the calculation:
- density of states at the Fermi level (states/eV/cell) = 30.19
- total energy (eV per atom) = -6.44
- M_tot (μB per formula unit) = 6.180
- E_form (eV/atom) = -0.2583

Geometry as CIF:
```
data_YPuCdGa
_cell_length_a 7.3654
_cell_length_b 7.3654
_cell_length_c 7.3654
_cell_angle_alpha 90.00
_cell_angle_beta 90.00
_cell_angle_gamma 90.00
_symmetry_space_group_name_H-M 'F -4 3 m'
_symmetry_Int_Tables_number 216
_symmetry_space_group_name_Hall 'F -4 2 3'
loop_
_atom_site_label
_atom_site_type_symbol
_atom_site_fract_x
_atom_site_fract_y
_atom_site_fract_z
Y1 Y 0.0000 0.0000 0.0000
Pu1 Pu 0.0000 0.0000 0.5000
Cd1 Cd 0.2500 0.2500 0.2500
Ga1 Ga 0.2500 0.2500 0.7500
```

# 2
Computed, not measured: a relaxed Pu2Zn4CdGa3 crystal at the PBE level of DFT.

Values from the calculation:
- density of states at the Fermi level (states/eV/cell) = 26.32
- total energy (eV per atom) = -4.56
- M_tot (μB per formula unit) = 10.906
- E_form (eV/atom) = -0.1871

Geometry as CIF:
```
data_Pu2Zn4CdGa3
_cell_length_a 4.2412
_cell_length_b 4.2412
_cell_length_c 10.8926
_cell_angle_alpha 90.00
_cell_angle_beta 90.00
_cell_angle_gamma 90.00
_symmetry_space_group_name_H-M 'P -4 m 2'
_symmetry_Int_Tables_number 115
_symmetry_space_group_name_Hall 'P -4 -2'
loop_
_atom_site_label
_atom_site_type_symbol
_atom_site_fract_x
_atom_site_fract_y
_atom_site_fract_z
Pu1 Pu 0.0000 0.5000 0.2358
Zn1 Zn 0.0000 0.0000 0.0000
Zn2 Zn 0.0000 0.5000 0.6456
Zn3 Zn 0.5000 0.5000 0.0000
Cd1 Cd 0.0000 0.0000 0.5000
Ga1 Ga 0.0000 0.5000 0.8677
Ga2 Ga 0.5000 0.5000 0.5000
```

# 3
Computed, not measured: a relaxed RbCd3Ga crystal at the PBE level of DFT.

Values from the calculation:
- density of states at the Fermi level (states/eV/cell) = 2.66
- total energy (eV per atom) = -1.28
- ΔE to the lowest computed polymorph (meV per atom) = 118
- M_tot (μB per formula unit) = 0.000
- E_form (eV/atom) = 0.0677

Geometry as CIF:
```
data_RbCd3Ga
_cell_length_a 5.4565
_cell_length_b 5.4565
_cell_length_c 5.4565
_cell_angle_alpha 90.00
_cell_angle_beta 90.00
_cell_angle_gamma 90.00
_symmetry_space_group_name_H-M 'P m -3 m'
_symmetry_Int_Tables_number 221
_symmetry_space_group_name_Hall '-P 4 2 3'
loop_
_atom_site_label
_atom_site_type_symbol
_atom_site_fract_x
_atom_site_fract_y
_atom_site_fract_z
Rb1 Rb 0.0000 0.0000 0.0000
Cd1 Cd 0.0000 0.5000 0.5000
Ga1 Ga 0.5000 0.5000 0.5000
```